No. 1
Density functional theory data (PBE) for an optimized crystal structure of Pr3Nd12In.

```
data_Pr3Nd12In
_cell_length_a 5.130
_cell_length_b 5.130
_cell_length_c 20.909
_cell_angle_alpha 90.00
_cell_angle_beta 90.00
_cell_angle_gamma 90.00
_symmetry_space_group_name_H-M 'P 1'
_symmetry_Int_Tables_number 1
loop_
_symmetry_equiv_pos_as_xyz
'x,y,z'
loop_
_atom_site_label
_atom_site_fract_x
_atom_site_fract_y
_atom_site_fract_z
Nd1 0.500 0.000 0.373
Nd2 0.500 0.500 0.245
Nd3 0.500 0.000 0.881
Nd4 0.500 0.500 0.500
Nd5 0.000 0.500 0.119
Nd6 0.500 0.000 0.119
Nd7 0.500 0.500 0.000
Nd8 0.000 0.500 0.627
Nd9 0.000 0.500 0.881
Nd10 0.500 0.000 0.627
Nd11 0.000 0.500 0.373
Nd12 0.500 0.500 0.755
Pr1 0.000 0.000 0.753
Pr2 0.000 0.000 0.500
Pr3 0.000 0.000 0.247
In1 0.000 0.000 0.000
```

DOS at the Fermi energy = 22.7 states/eV/f.u.
ΔH_f (0 K) = -0.047 eV/atom
DFT total energy = -4.691 eV per atom
V = 34.385 Å³ per atom
SG = No. 123

No. 2
Density functional theory data (PBE) for an optimized crystal structure of AlNiHPd2.

```
data_AlNiHPd2
_cell_length_a 3.986
_cell_length_b 3.986
_cell_length_c 3.620
_cell_angle_alpha 90.00
_cell_angle_beta 90.00
_cell_angle_gamma 90.00
_symmetry_space_group_name_H-M 'P 1'
_symmetry_Int_Tables_number 1
loop_
_symmetry_equiv_pos_as_xyz
'x,y,z'
loop_
_atom_site_label
_atom_site_fract_x
_atom_site_fract_y
_atom_site_fract_z
Ni1 0.000 0.000 0.500
Pd1 0.500 0.000 0.000
Pd2 0.000 0.500 0.000
H1 0.000 0.000 0.000
Al1 0.500 0.500 0.500
```

DOS at the Fermi energy = 1.0 states/eV/f.u.
DFT total energy = -5.131 eV per atom
V = 11.505 Å³ per atom
SG = No. 123

No. 3
Density functional theory data (PBE) for an optimized crystal structure of PrNiSn4.

```
data_PrNiSn4
_cell_length_a 4.460
_cell_length_b 4.518
_cell_length_c 14.977
_cell_angle_alpha 90.00
_cell_angle_beta 98.56
_cell_angle_gamma 90.00
_symmetry_space_group_name_H-M 'P 1'
_symmetry_Int_Tables_number 1
loop_
_symmetry_equiv_pos_as_xyz
'x,y,z'
loop_
_atom_site_label
_atom_site_fract_x
_atom_site_fract_y
_atom_site_fract_z
Sn1 0.500 0.500 0.000
Sn2 0.604 0.500 0.209
Sn3 0.396 0.500 0.791
Sn4 0.895 0.000 0.790
Sn5 0.283 0.000 0.567
Sn6 0.000 0.000 0.000
Sn7 0.717 0.000 0.433
Sn8 0.105 0.000 0.210
Pr1 0.190 0.500 0.380
Pr2 0.810 0.500 0.620
Ni1 0.450 0.000 0.900
Ni2 0.550 0.000 0.100
```

DOS at the Fermi energy = 2.3 states/eV/f.u.
ΔH_f (0 K) = -0.388 eV/atom
DFT total energy = -4.817 eV per atom
V = 24.869 Å³ per atom
SG = No. 65

No. 4
Density functional theory data (PBE) for an optimized crystal structure of Cs4Ba3ReO8.

```
data_Cs4Ba3ReO8
_cell_length_a 7.740
_cell_length_b 8.205
_cell_length_c 7.740
_cell_angle_alpha 118.15
_cell_angle_beta 120.00
_cell_angle_gamma 90.00
_symmetry_space_group_name_H-M 'P 1'
_symmetry_Int_Tables_number 1
loop_
_symmetry_equiv_pos_as_xyz
'x,y,z'
loop_
_atom_site_label
_atom_site_fract_x
_atom_site_fract_y
_atom_site_fract_z
Cs1 0.000 0.000 0.000
Cs2 0.000 0.000 0.500
Cs3 0.500 0.000 0.000
Cs4 0.500 0.000 0.500
Re1 0.000 0.500 0.000
O1 0.812 0.662 0.987
O2 0.175 0.662 0.349
O3 0.188 0.338 0.013
O4 0.825 0.338 0.651
O5 0.825 0.338 0.013
O6 0.175 0.662 0.987
O7 0.732 0.696 0.464
O8 0.268 0.304 0.536
Ba1 0.500 0.500 0.500
Ba2 0.000 0.500 0.500
Ba3 0.500 0.500 0.000
```

DOS at the Fermi energy = 5.4 states/eV/f.u.
uncorrected formation energy = -1762 meV per atom
DFT total energy = -5.593 eV per atom
V = 22.308 Å³ per atom
SG = No. 166

No. 5
Density functional theory data (PBE) for an optimized crystal structure of K2ZrBr.

```
data_K2ZrBr
_cell_length_a 6.493
_cell_length_b 6.493
_cell_length_c 3.736
_cell_angle_alpha 90.00
_cell_angle_beta 90.00
_cell_angle_gamma 113.34
_symmetry_space_group_name_H-M 'P 1'
_symmetry_Int_Tables_number 1
loop_
_symmetry_equiv_pos_as_xyz
'x,y,z'
loop_
_atom_site_label
_atom_site_fract_x
_atom_site_fract_y
_atom_site_fract_z
K1 0.500 0.500 0.000
K2 0.000 0.000 0.000
Zr1 0.500 0.000 0.500
Br1 0.000 0.500 0.500
```

DOS at the Fermi energy = 2.8 states/eV/f.u.
uncorrected formation energy = 231 meV per atom
relative energy among the computed polymorphs = 0.362 eV per atom
DFT total energy = -2.873 eV per atom
V = 36.156 Å³ per atom
SG = No. 65

No. 6
Density functional theory data (PBE) for an optimized crystal structure of Sr2TlNiN.

```
data_Sr2TlNiN
_cell_length_a 5.672
_cell_length_b 5.672
_cell_length_c 3.607
_cell_angle_alpha 90.00
_cell_angle_beta 90.00
_cell_angle_gamma 90.00
_symmetry_space_group_name_H-M 'P 1'
_symmetry_Int_Tables_number 1
loop_
_symmetry_equiv_pos_as_xyz
'x,y,z'
loop_
_atom_site_label
_atom_site_fract_x
_atom_site_fract_y
_atom_site_fract_z
Sr1 0.000 0.500 0.000
Sr2 0.500 0.000 0.000
N1 0.000 0.000 0.000
Ni1 0.000 0.000 0.500
Tl1 0.500 0.500 0.500
```

DOS at the Fermi energy = 4.7 states/eV/f.u.
uncorrected formation energy = -368 meV per atom
DFT total energy = -4.335 eV per atom
V = 23.207 Å³ per atom
SG = No. 123

No. 7
Density functional theory data (PBE) for an optimized crystal structure of SrLiZnGa.

```
data_SrLiZnGa
_cell_length_a 4.459
_cell_length_b 4.459
_cell_length_c 6.082
_cell_angle_alpha 111.63
_cell_angle_beta 90.00
_cell_angle_gamma 120.00
_symmetry_space_group_name_H-M 'P 1'
_symmetry_Int_Tables_number 1
loop_
_symmetry_equiv_pos_as_xyz
'x,y,z'
loop_
_atom_site_label
_atom_site_fract_x
_atom_site_fract_y
_atom_site_fract_z
Sr1 0.622 0.244 0.509
Zn1 0.424 0.849 0.915
Li1 0.815 0.630 0.087
Ga1 0.105 0.209 0.956
```

DOS at the Fermi energy = 0.9 states/eV/f.u.
ΔH_f (0 K) = -0.309 eV/atom
DFT total energy = -2.283 eV per atom
V = 23.689 Å³ per atom
SG = No. 8

No. 8
Density functional theory data (PBE) for an optimized crystal structure of BeReRu2W.

```
data_BeReRu2W
_cell_length_a 4.037
_cell_length_b 4.233
_cell_length_c 4.037
_cell_angle_alpha 90.00
_cell_angle_beta 90.00
_cell_angle_gamma 90.00
_symmetry_space_group_name_H-M 'P 1'
_symmetry_Int_Tables_number 1
loop_
_symmetry_equiv_pos_as_xyz
'x,y,z'
loop_
_atom_site_label
_atom_site_fract_x
_atom_site_fract_y
_atom_site_fract_z
Re1 0.500 0.500 0.500
W1 0.000 0.500 0.000
Ru1 0.500 0.000 0.000
Ru2 0.000 0.000 0.500
Be1 0.000 0.000 0.000
```

DOS at the Fermi energy = 2.7 states/eV/f.u.
ΔH_f (0 K) = 0.519 eV/atom
DFT total energy = -9.016 eV per atom
V = 13.795 Å³ per atom
SG = No. 123

No. 9
Density functional theory data (PBE) for an optimized crystal structure of BaNbSbTe2.

```
data_BaNbSbTe2
_cell_length_a 5.588
_cell_length_b 5.588
_cell_length_c 5.388
_cell_angle_alpha 90.00
_cell_angle_beta 90.00
_cell_angle_gamma 90.00
_symmetry_space_group_name_H-M 'P 1'
_symmetry_Int_Tables_number 1
loop_
_symmetry_equiv_pos_as_xyz
'x,y,z'
loop_
_atom_site_label
_atom_site_fract_x
_atom_site_fract_y
_atom_site_fract_z
Sb1 0.000 0.000 0.500
Ba1 0.500 0.500 0.500
Te1 0.500 0.000 0.000
Te2 0.000 0.500 0.000
Nb1 0.000 0.000 0.000
```

DOS at the Fermi energy = 4.0 states/eV/f.u.
uncorrected formation energy = -535 meV per atom
relative energy among the computed polymorphs = 0.000 eV per atom
DFT total energy = -5.014 eV per atom
V = 33.656 Å³ per atom
SG = No. 123

No. 10
Density functional theory data (PBE) for an optimized crystal structure of AcPmMg10.

```
data_AcPmMg10
_cell_length_a 4.979
_cell_length_b 6.082
_cell_length_c 10.501
_cell_angle_alpha 90.00
_cell_angle_beta 90.00
_cell_angle_gamma 90.00
_symmetry_space_group_name_H-M 'P 1'
_symmetry_Int_Tables_number 1
loop_
_symmetry_equiv_pos_as_xyz
'x,y,z'
loop_
_atom_site_label
_atom_site_fract_x
_atom_site_fract_y
_atom_site_fract_z
Mg1 0.500 0.000 0.500
Mg2 0.000 0.500 0.160
Mg3 0.500 0.500 0.000
Mg4 0.500 0.248 0.755
Mg5 0.500 0.752 0.755
Mg6 0.500 0.248 0.245
Mg7 0.500 0.752 0.245
Mg8 0.000 0.000 0.675
Mg9 0.000 0.500 0.840
Mg10 0.000 0.000 0.325
Ac1 0.000 0.500 0.500
Pm1 0.000 0.000 0.000
```

DOS at the Fermi energy = 7.6 states/eV/f.u.
ΔH_f (0 K) = -0.049 eV/atom
DFT total energy = -2.116 eV per atom
V = 26.498 Å³ per atom
SG = No. 47

No. 11
Density functional theory data (PBE) for an optimized crystal structure of DyZnCu.

```
data_DyZnCu
_cell_length_a 3.406
_cell_length_b 3.406
_cell_length_c 5.431
_cell_angle_alpha 108.27
_cell_angle_beta 108.27
_cell_angle_gamma 90.00
_symmetry_space_group_name_H-M 'P 1'
_symmetry_Int_Tables_number 1
loop_
_symmetry_equiv_pos_as_xyz
'x,y,z'
loop_
_atom_site_label
_atom_site_fract_x
_atom_site_fract_y
_atom_site_fract_z
Dy1 0.948 0.948 0.897
Cu1 0.260 0.260 0.519
Zn1 0.642 0.642 0.284
```

DOS at the Fermi energy = 1.6 states/eV/f.u.
ΔH_f (0 K) = -0.186 eV/atom
DFT total energy = -3.510 eV per atom
V = 18.818 Å³ per atom
SG = No. 107

No. 12
Density functional theory data (PBE) for an optimized crystal structure of Li4HoGa.

```
data_Li4HoGa
_cell_length_a 5.361
_cell_length_b 5.361
_cell_length_c 5.361
_cell_angle_alpha 60.00
_cell_angle_beta 60.00
_cell_angle_gamma 60.00
_symmetry_space_group_name_H-M 'P 1'
_symmetry_Int_Tables_number 1
loop_
_symmetry_equiv_pos_as_xyz
'x,y,z'
loop_
_atom_site_label
_atom_site_fract_x
_atom_site_fract_y
_atom_site_fract_z
Ga1 0.000 0.000 0.000
Li1 0.626 0.626 0.121
Li2 0.626 0.626 0.626
Li3 0.626 0.121 0.626
Li4 0.121 0.626 0.626
Ho1 0.250 0.250 0.250
```

DOS at the Fermi energy = 1.3 states/eV/f.u.
ΔH_f (0 K) = -0.080 eV/atom
DFT total energy = -2.623 eV per atom
V = 18.154 Å³ per atom
SG = No. 216

Please write out number 3 again, unchanged.
Density functional theory data (PBE) for an optimized crystal structure of PrNiSn4.

```
data_PrNiSn4
_cell_length_a 4.460
_cell_length_b 4.518
_cell_length_c 14.977
_cell_angle_alpha 90.00
_cell_angle_beta 98.56
_cell_angle_gamma 90.00
_symmetry_space_group_name_H-M 'P 1'
_symmetry_Int_Tables_number 1
loop_
_symmetry_equiv_pos_as_xyz
'x,y,z'
loop_
_atom_site_label
_atom_site_fract_x
_atom_site_fract_y
_atom_site_fract_z
Sn1 0.500 0.500 0.000
Sn2 0.604 0.500 0.209
Sn3 0.396 0.500 0.791
Sn4 0.895 0.000 0.790
Sn5 0.283 0.000 0.567
Sn6 0.000 0.000 0.000
Sn7 0.717 0.000 0.433
Sn8 0.105 0.000 0.210
Pr1 0.190 0.500 0.380
Pr2 0.810 0.500 0.620
Ni1 0.450 0.000 0.900
Ni2 0.550 0.000 0.100
```

DOS at the Fermi energy = 2.3 states/eV/f.u.
ΔH_f (0 K) = -0.388 eV/atom
DFT total energy = -4.817 eV per atom
V = 24.869 Å³ per atom
SG = No. 65